## TbNdAg2P4 (PBE-GGA)

Data for crystalline TbNdAg2P4 at its relaxed geometry.

The structure in POSCAR format:
```
TbNdAg2P4
1.0
-3.673 -0.133 1.279
-1.083 -1.768 -3.294
1.835 -9.173 4.320
Tb P Ag Nd
1 4 2 1
direct
0.500 0.500 0.776 Tb
0.000 0.500 0.994 P
0.500 0.000 0.994 P
0.500 0.500 0.324 P
0.000 0.000 0.685 P
0.500 0.000 0.504 Ag
0.000 0.500 0.504 Ag
0.000 0.000 0.221 Nd
```

Calculated values
Total energy   -42.31 eV per cell